DFT (PBE) results for an optimized crystal structure of Ac8Pt2Rh.

total energy = -58.7 eV for the cell shown
crystal system = monoclinic
DFT formation energy = -6.419 eV per formula unit
total moment = 0.00 Bohr magnetons per cell
symmetry = C2/m (12)

a = 4.1954 Å, b = 9.7701 Å, c = 10.2479 Å
α = 93.45°, β = 101.81°, γ = 90.00°
Atoms (fractional coordinates):
Ac: 0.5965 0.5364 0.1931
Ac: 0.3484 0.0312 0.6967
Ac: 0.2260 0.3291 0.4521
Ac: 0.9911 0.7927 0.9821
Ac: 0.7740 0.6709 0.5479
Ac: 0.6516 0.9688 0.3033
Ac: 0.4035 0.4636 0.8069
Ac: 0.0089 0.2073 0.0179
Pt: 0.1617 0.7361 0.3234
Pt: 0.8383 0.2639 0.6766
Rh: 0.5000 0.0000 0.0000


DFT (PBE) results for an optimized crystal structure of AcPtRh.

total energy = -40.0 eV for the cell shown
crystal system = orthorhombic
DFT formation energy = -2.494 eV per formula unit
total moment = 0.00 Bohr magnetons per cell
symmetry = Immm (71)
E above lowest polymorph = 0.009 eV per atom

a = 4.4406 Å, b = 6.1256 Å, c = 6.1256 Å
α = 78.04°, β = 68.75°, γ = 68.75°
Atoms (fractional coordinates):
Ac: 0.7506 0.7494 0.7494
Ac: 0.2494 0.2506 0.2506
Pt: 0.5000 0.6685 0.3315
Pt: 0.5000 0.3315 0.6685
Rh: 0.0000 0.8361 0.1639
Rh: 0.0000 0.1639 0.8361


DFT (PBE) results for an optimized crystal structure of Ac3Pt2Rh.

total energy = -37.6 eV for the cell shown
crystal system = tetragonal
DFT formation energy = -5.872 eV per formula unit
total moment = 0.00 Bohr magnetons per cell
symmetry = I4/mmm (139)

a = 4.3604 Å, b = 4.3605 Å, c = 9.7149 Å
α = 102.96°, β = 102.96°, γ = 90.04°
Atoms (fractional coordinates):
Ac: 0.9340 0.9360 0.8739
Ac: 0.2718 0.2730 0.5489
Ac: 0.5969 0.5981 0.1990
Pt: 0.1036 0.1047 0.2125
Pt: 0.7652 0.7662 0.5355
Rh: 0.4339 0.4360 0.8740


DFT (PBE) results for an optimized crystal structure of Ac12Pt5Rh2.

total energy = -108.7 eV for the cell shown
crystal system = monoclinic
DFT formation energy = -14.492 eV per formula unit
total moment = 0.00 Bohr magnetons per cell
symmetry = C2/m (12)

a = 8.4945 Å, b = 9.0330 Å, c = 10.5483 Å
α = 104.19°, β = 90.00°, γ = 118.05°
Atoms (fractional coordinates):
Ac: 0.9394 0.8788 0.1707
Ac: 0.0720 0.6287 0.8494
Ac: 0.5568 0.6287 0.8494
Ac: 0.1185 0.7370 0.4858
Ac: 0.6185 0.7370 0.4858
Ac: 0.5408 0.0815 0.8289
Ac: 0.4592 0.9185 0.1711
Ac: 0.8815 0.2630 0.5142
Ac: 0.3815 0.2630 0.5142
Ac: 0.9280 0.3713 0.1506
Ac: 0.4432 0.3713 0.1506
Ac: 0.0606 0.1212 0.8293
Pt: 0.2833 0.5666 0.6155
Pt: 0.2587 0.5173 0.0164
Pt: 0.0000 0.0000 0.5000
Pt: 0.7413 0.4827 0.9836
Pt: 0.7167 0.4334 0.3845
Rh: 0.7563 0.0000 0.0000
Rh: 0.2437 0.0000 0.0000


DFT (PBE) results for an optimized crystal structure of Ac2Pt2Rh.

total energy = -64.6 eV for the cell shown
crystal system = monoclinic
DFT formation energy = -4.630 eV per formula unit
total moment = 0.00 Bohr magnetons per cell
symmetry = C2/m (12)

a = 4.3489 Å, b = 6.1270 Å, c = 10.5838 Å
α = 83.22°, β = 78.14°, γ = 69.21°
Atoms (fractional coordinates):
Ac: 0.6981 0.2448 0.3590
Ac: 0.9073 0.2896 0.8959
Ac: 0.3019 0.7552 0.6410
Ac: 0.0927 0.7104 0.1041
Pt: 0.0397 0.3314 0.5892
Pt: 0.6400 0.8322 0.8878
Pt: 0.9603 0.6686 0.4108
Pt: 0.3600 0.1678 0.1122
Rh: 0.5766 0.1567 0.6900
Rh: 0.4234 0.8433 0.3100


DFT (PBE) results for an optimized crystal structure of Ac2PtRh2.

total energy = -65.2 eV for the cell shown
crystal system = monoclinic
DFT formation energy = -3.634 eV per formula unit
total moment = 0.00 Bohr magnetons per cell
symmetry = C2/c (15)
E above lowest polymorph = 0.000 eV per atom

a = 5.7694 Å, b = 5.7694 Å, c = 8.4738 Å
α = 76.47°, β = 76.47°, γ = 59.44°
Atoms (fractional coordinates):
Ac: 0.4947 0.2081 0.1500
Ac: 0.7919 0.5053 0.3500
Ac: 0.5053 0.7919 0.8500
Ac: 0.2081 0.4947 0.6500
Pt: 0.1782 0.8218 0.2500
Pt: 0.8218 0.1782 0.7500
Rh: 0.7400 0.0038 0.5035
Rh: 0.9962 0.2600 0.9965
Rh: 0.2600 0.9962 0.4965
Rh: 0.0038 0.7400 0.0035


DFT (PBE) results for an optimized crystal structure of Ac6PtRh2.

total energy = -50.2 eV for the cell shown
crystal system = monoclinic
DFT formation energy = -4.774 eV per formula unit
total moment = 0.00 Bohr magnetons per cell
symmetry = C2/m (12)
E above lowest polymorph = 0.110 eV per atom

a = 5.7047 Å, b = 7.5660 Å, c = 9.3945 Å
α = 68.47°, β = 72.32°, γ = 67.85°
Atoms (fractional coordinates):
Ac: 0.6975 0.7027 0.9024
Ac: 0.3025 0.2973 0.0976
Ac: 0.9822 0.8202 0.2154
Ac: 0.3547 0.7181 0.5724
Ac: 0.0178 0.1798 0.7846
Ac: 0.6453 0.2819 0.4276
Pt: 0.0000 0.5000 0.5000
Rh: 0.1806 0.7369 0.9019
Rh: 0.8194 0.2631 0.0981


DFT (PBE) results for an optimized crystal structure of Ac8Pt6Rh.

total energy = -89.7 eV for the cell shown
crystal system = trigonal
DFT formation energy = -13.282 eV per formula unit
total moment = 0.00 Bohr magnetons per cell
symmetry = P-3 (147)

a = 4.9263 Å, b = 10.1765 Å, c = 10.1765 Å
α = 120.00°, β = 90.00°, γ = 90.00°
Atoms (fractional coordinates):
Ac: 0.7482 0.9436 0.2454
Ac: 0.7482 0.7546 0.6982
Ac: 0.7482 0.3018 0.0564
Ac: 0.2518 0.0564 0.7546
Ac: 0.2518 0.2454 0.3018
Ac: 0.2518 0.6982 0.9436
Ac: 0.7511 0.3333 0.6667
Ac: 0.2489 0.6667 0.3333
Pt: 0.7486 0.6017 0.0585
Pt: 0.7486 0.9415 0.5432
Pt: 0.7486 0.4568 0.3983
Pt: 0.2514 0.3983 0.9415
Pt: 0.2514 0.0585 0.4568
Pt: 0.2514 0.5432 0.6017
Rh: 0.5000 0.0000 0.0000


DFT (PBE) results for an optimized crystal structure of Ac8Pt2Rh3.

total energy = -76.2 eV for the cell shown
crystal system = monoclinic
DFT formation energy = -9.173 eV per formula unit
total moment = 0.00 Bohr magnetons per cell
symmetry = C2/m (12)

a = 7.3274 Å, b = 8.4543 Å, c = 8.9387 Å
α = 118.22°, β = 105.88°, γ = 90.00°
Atoms (fractional coordinates):
Ac: 0.1032 0.3894 0.7787
Ac: 0.8968 0.6106 0.2213
Ac: 0.0816 0.8875 0.7750
Ac: 0.9184 0.1125 0.2250
Ac: 0.4060 0.8771 0.2373
Ac: 0.4060 0.3601 0.2373
Ac: 0.5940 0.6399 0.7627
Ac: 0.5940 0.1229 0.7627
Pt: 0.6644 0.7449 0.4898
Pt: 0.3356 0.2551 0.5102
Rh: 0.5000 0.0000 0.0000
Rh: 0.0000 0.2580 0.0000
Rh: 0.0000 0.7420 0.0000


DFT (PBE) results for an optimized crystal structure of Ac2PtRh3.

total energy = -40.5 eV for the cell shown
crystal system = trigonal
DFT formation energy = -4.234 eV per formula unit
total moment = 0.00 Bohr magnetons per cell
symmetry = R-3m (166)

a = 5.5945 Å, b = 5.5945 Å, c = 5.5578 Å
α = 89.97°, β = 120.24°, γ = 120.01°
Atoms (fractional coordinates):
Ac: 0.7503 0.3752 0.1255
Ac: 0.2497 0.6248 0.8745
Pt: 0.0000 0.0000 0.0000
Rh: 0.5000 0.5000 0.5000
Rh: 0.0000 0.0000 0.5000
Rh: 0.5000 0.0000 0.5000


DFT (PBE) results for an optimized crystal structure of Ac7Pt4Rh.

total energy = -71.6 eV for the cell shown
crystal system = monoclinic
DFT formation energy = -11.290 eV per formula unit
total moment = 0.00 Bohr magnetons per cell
symmetry = Cm (8)

a = 4.2920 Å, b = 7.5321 Å, c = 13.1330 Å
α = 104.06°, β = 90.00°, γ = 106.55°
Atoms (fractional coordinates):
Ac: 0.7420 0.4840 0.3625
Ac: 0.2648 0.5296 0.6395
Ac: 0.3440 0.6879 0.9483
Ac: 0.6537 0.3074 0.0509
Ac: 0.0380 0.0759 0.7813
Ac: 0.9596 0.9192 0.2165
Ac: 0.4984 0.9969 0.5026
Pt: 0.6962 0.3924 0.8203
Pt: 0.3025 0.6049 0.1792
Pt: 0.9988 0.9977 0.9995
Pt: 0.1167 0.2334 0.4258
Rh: 0.8854 0.7707 0.5738


- Look up the total energy of the seventh one.
  -50.2 eV for the cell shown